The following is a GGA-PBE calculation of crystalline VHgI2 at its relaxed geometry, from Alexandria.

Calculated values
E above lowest polymorph	2	meV per atom
electronic total energy	-3.442	eV per atom
formation energy (no corrections)	-0.3119	eV/atom

Cell lengths 4.0887, 4.0887, 11.6682 Å; angles 79.91, 79.91, 60.00 degrees
Site moments in Bohr magnetons follow the coordinates.
Fractional coordinates of all 4 atoms:
I: 0.1208 0.1208 0.6377  -0.05
Hg: 0.0000 0.0000 0.0000  0.00
I: 0.8792 0.8792 0.3624  -0.05
V: 0.5000 0.5000 0.5000  2.64

---

The following is a GGA-PBE calculation of crystalline VHgI2 at its relaxed geometry, from Alexandria.

Calculated values
E above lowest polymorph	654	meV per atom
electronic total energy	-2.790	eV per atom
formation energy (no corrections)	0.3400	eV/atom

Cell lengths 5.4433, 5.4433, 5.4433 Å; angles 60.00, 60.00, 60.00 degrees
Site moments in Bohr magnetons follow the coordinates.
Fractional coordinates of all 4 atoms:
V: 0.0000 0.0000 0.0000  2.86
I: 0.7500 0.7500 0.7500  -0.11
I: 0.2500 0.2500 0.2500  -0.11
Hg: 0.5000 0.5000 0.5000  -0.07

---

The following is a GGA-PBE calculation of crystalline VHgI2 at its relaxed geometry, from Alexandria.

Calculated values
E above lowest polymorph	0	meV per atom
electronic total energy	-3.444	eV per atom
formation energy (no corrections)	-0.3142	eV/atom

Cell lengths 4.0885, 4.0918, 10.6106 Å; angles 78.59, 78.89, 60.03 degrees
Site moments in Bohr magnetons follow the coordinates.
Fractional coordinates of all 4 atoms:
I: 0.0537 0.0449 0.8477  -0.05
I: 0.2886 0.2709 0.1518  -0.05
V: 0.6713 0.6577 0.9997  2.64
Hg: 0.4864 0.5264 0.5008  0.00

---

The following is a GGA-PBE calculation of crystalline VHg2I at its relaxed geometry, from Alexandria.

Calculated values
E above lowest polymorph	0	meV per atom
electronic total energy	-2.510	eV per atom
formation energy (no corrections)	0.3084	eV/atom

Cell lengths 9.3283, 9.3283, 7.1638 Å; angles 49.38, 49.38, 90.00 degrees
Site moments in Bohr magnetons follow the coordinates.
Fractional coordinates of all 8 atoms:
Hg: 0.8750 0.7955 0.7500  0.05
V: 0.2500 0.7500 0.5000  2.90
Hg: 0.2045 0.6250 0.2500  0.05
Hg: 0.5455 0.1250 0.2500  0.05
V: 0.5000 0.5000 0.0000  2.90
I: 0.7500 0.2500 0.5000  0.01
I: 0.0000 0.0000 0.0000  0.01
Hg: 0.3750 0.4545 0.7500  0.05